# KBe2Cd

A geometry-optimized KBe2Cd structure (PBE, the Alexandria database).

```
KBe2Cd
1.0
-0.031 6.928 -6.519
-2.810 5.562 -7.188
-2.624 7.730 -4.885
Be K Cd
2 1 1
Cartesian
-0.089 0.328 -0.302
-2.643 9.782 -8.994
-1.366 5.055 -4.648
-4.098 15.165 -13.944
```

**Size of the total moment**: 0.0 μB per formula unit
**Space-group type**: No. 166
**ΔE_f**: 0.97 eV/atom
**N(E_F)**: 2.129 states/eV per cell
**Total DFT energy (no corrections)**: -1.39 eV/atom


# YZr2NbAl

A geometry-optimized YZr2NbAl structure (PBE, the Alexandria database).

```
YZr2NbAl
1.0
-3.019 1.404 -3.748
-2.355 -4.530 0.199
-3.269 1.845 3.324
Y Nb Al Zr
1 1 1 2
Cartesian
0.000 0.000 0.000
-4.321 -0.641 -0.113
-1.177 -2.265 0.099
-1.634 0.922 1.662
-1.509 0.702 -1.874
```

**E above lowest polymorph**: 1000 meV per atom
**Size of the total moment**: 0.0 μB per formula unit
**Space-group type**: No. 123
**ΔE_f**: 1.60 eV/atom
**N(E_F)**: 6.280 states/eV per cell
**Total DFT energy (no corrections)**: -5.87 eV/atom


# Ta2TcAg

A geometry-optimized Ta2TcAg structure (PBE, the Alexandria database).

```
Ta2TcAg
1.0
-2.288 -0.628 -2.909
3.248 -1.597 -2.211
-0.868 -3.865 1.517
Ag Ta Tc
1 2 1
Cartesian
-1.578 -2.246 -0.696
0.000 0.000 0.000
1.190 -2.731 -0.347
0.480 -1.112 -2.560
```

**E above lowest polymorph**: 101 meV per atom
**Size of the total moment**: 0.0 μB per formula unit
**Space-group type**: No. 123
**ΔE_f**: 0.16 eV/atom
**N(E_F)**: 3.693 states/eV per cell
**Total DFT energy (no corrections)**: -9.07 eV/atom


# Cu2HgCl2

A geometry-optimized Cu2HgCl2 structure (PBE, the Alexandria database).

```
Cu2HgCl2
1.0
7.420 0.000 0.000
0.000 7.420 0.000
0.000 0.000 3.487
Hg Cu Cl
2 4 4
Cartesian
0.000 0.000 0.000
3.710 3.710 0.000
2.809 6.518 0.000
6.518 4.611 0.000
4.611 0.901 0.000
0.901 2.809 0.000
1.115 4.825 1.744
4.825 6.305 1.744
6.305 2.595 1.744
2.595 1.115 1.744
```

**E above lowest polymorph**: 267 meV per atom
**Size of the total moment**: 0.0 μB per formula unit
**Space-group type**: No. 127
**N(E_F)**: 0.000 states/eV per cell
**Energy relative to the elements, uncorrected**: 9.6 meV per atom
**Total DFT energy (no corrections)**: -2.43 eV/atom


# ZrMnSi2

A geometry-optimized ZrMnSi2 structure (PBE, the Alexandria database).

```
ZrMnSi2
1.0
3.909 -0.004 0.004
1.963 3.381 0.004
1.948 1.120 4.527
Mn Si Zr
1 2 1
Cartesian
1.955 1.124 1.134
5.871 3.376 0.506
3.911 2.249 1.770
5.865 3.372 3.402
```

**Size of the total moment**: 0.0 μB per formula unit
**Space-group type**: No. 166
**N(E_F)**: 3.071 states/eV per cell
**Energy relative to the elements, uncorrected**: -543.4 meV per atom
**Total DFT energy (no corrections)**: -7.68 eV/atom


# Tl2Te

A geometry-optimized Tl2Te structure (PBE, the Alexandria database).

```
Tl2Te
1.0
2.967 -2.188 5.396
-3.182 0.003 5.708
-1.876 -5.649 2.698
Tl Te
4 2
Cartesian
1.222 -2.073 4.423
-1.852 -0.978 4.579
-1.199 -3.803 3.074
-0.261 -0.979 1.725
-1.045 -3.917 6.901
-1.568 -5.875 10.352
```

**E above lowest polymorph**: 324 meV per atom
**Size of the total moment**: 0.0 μB per formula unit
**Space-group type**: No. 227
**N(E_F)**: 5.842 states/eV per cell
**Energy relative to the elements, uncorrected**: 26.4 meV per atom
**Total DFT energy (no corrections)**: -2.60 eV/atom